[1]
DFT (PBE) results for crystalline Np2Tl2CrSe6 at its relaxed geometry.

Its symmetry is C2/m. The energy relative to the elements, uncorrected comes out at -8.8 eV per formula unit.

Cell lengths 6.937, 6.937, 8.195 Å; angles 98.56, 98.56, 119.56 degrees
Positions (direct):
Np 0.167 0.833 0.000
Np 0.833 0.167 0.000
Tl 0.328 0.672 0.500
Tl 0.672 0.328 0.500
Cr 0.500 0.500 0.000
Se 0.118 0.430 0.804
Se 0.260 0.260 0.194
Se 0.430 0.118 0.804
Se 0.570 0.882 0.196
Se 0.740 0.740 0.806
Se 0.882 0.570 0.196

[2]
DFT (PBE) results for crystalline Li3Ho2NpTe6 at its relaxed geometry.

Its symmetry is C2/m. The energy relative to the elements, uncorrected comes out at -13.3 eV per formula unit.

Cell lengths 7.540, 7.540, 7.483 Å; angles 99.64, 99.64, 119.88 degrees
Positions (direct):
Li 0.000 0.000 0.000
Li 0.333 0.667 0.000
Li 0.667 0.333 0.000
Ho 0.166 0.834 0.500
Ho 0.834 0.166 0.500
Np 0.500 0.500 0.500
Te 0.076 0.415 0.244
Te 0.247 0.247 0.757
Te 0.415 0.076 0.244
Te 0.585 0.924 0.756
Te 0.753 0.753 0.243
Te 0.924 0.585 0.756

[3]
DFT (PBE) results for crystalline K2MgAsS4 at its relaxed geometry.

Its symmetry is Fddd. The energy relative to the elements, uncorrected comes out at -6.3 eV per formula unit.

Cell lengths 13.503, 12.018, 7.496 Å; angles 84.18, 62.30, 33.52 degrees
Positions (direct):
K 0.057 0.057 0.693
K 0.307 0.307 0.943
K 0.693 0.693 0.057
K 0.943 0.943 0.307
Mg 0.125 0.125 0.125
Mg 0.875 0.875 0.875
As 0.375 0.375 0.375
As 0.625 0.625 0.625
S 0.015 0.339 0.437
S 0.292 0.563 0.661
S 0.339 0.015 0.708
S 0.437 0.708 0.015
S 0.563 0.292 0.985
S 0.661 0.985 0.292
S 0.708 0.437 0.339
S 0.985 0.661 0.563

[4]
DFT (PBE) results for crystalline Zn5Tc at its relaxed geometry.

Its symmetry is F-43m. The energy above the most stable polymorph in this dataset comes out at 0.2310 eV per atom. For the formation energy, the calculation gives 0.209 eV per atom.

Cell lengths 4.962, 4.962, 4.962 Å; angles 60.00, 60.00, 60.00 degrees
Positions (direct):
Zn 0.000 0.000 0.000
Zn 0.127 0.624 0.624
Zn 0.624 0.127 0.624
Zn 0.624 0.624 0.127
Zn 0.624 0.624 0.624
Tc 0.250 0.250 0.250

[5]
DFT (PBE) results for crystalline SrBi2RuO6 at its relaxed geometry.

Its symmetry is R3. The energy relative to the elements, uncorrected comes out at -14.0 eV per formula unit.

Cell lengths 6.138, 6.138, 6.138 Å; angles 57.50, 57.50, 57.50 degrees
Positions (direct):
Sr 0.000 0.000 0.000
Bi 0.272 0.272 0.272
Bi 0.783 0.783 0.783
Ru 0.479 0.479 0.479
O 0.134 0.656 0.392
O 0.223 0.595 0.826
O 0.392 0.134 0.656
O 0.595 0.826 0.223
O 0.656 0.392 0.134
O 0.826 0.223 0.595

[6]
DFT (PBE) results for crystalline MnGaCo at its relaxed geometry.

Its symmetry is P3m1. For the formation energy, the calculation gives -0.080 eV per atom.

Cell lengths 4.058, 4.058, 2.663 Å; angles 90.00, 90.00, 120.00 degrees
Positions (direct):
Mn 0.000 0.000 0.000
Ga 0.667 0.333 0.589
Co 0.333 0.667 0.324

[7]
DFT (PBE) results for crystalline Cs2Na2NpTe4 at its relaxed geometry.

Its symmetry is C2/m. The energy relative to the elements, uncorrected comes out at -8.0 eV per formula unit.

Cell lengths 9.150, 9.150, 8.991 Å; angles 109.05, 109.05, 30.48 degrees
Positions (direct):
Cs 0.135 0.135 0.065
Cs 0.865 0.865 0.935
Na 0.321 0.321 0.524
Na 0.679 0.679 0.476
Np 0.000 0.000 0.500
Te 0.185 0.185 0.680
Te 0.497 0.497 0.725
Te 0.503 0.503 0.275
Te 0.815 0.815 0.320

[8]
DFT (PBE) results for crystalline Tb2Pm7Ho at its relaxed geometry.

Its symmetry is Cmmm. The energy above the most stable polymorph in this dataset comes out at 0.0000 eV per atom. For the formation energy, the calculation gives 0.389 eV per atom.

Cell lengths 10.321, 10.321, 3.522 Å; angles 90.00, 90.00, 108.71 degrees
Positions (direct):
Tb 0.168 0.832 0.000
Tb 0.832 0.168 0.000
Pm 0.127 0.383 0.000
Pm 0.323 0.677 0.500
Pm 0.383 0.127 0.000
Pm 0.500 0.500 0.000
Pm 0.617 0.873 0.000
Pm 0.677 0.323 0.500
Pm 0.873 0.617 0.000
Ho 0.000 0.000 0.500

[9]
DFT (PBE) results for crystalline Sr2TlRe at its relaxed geometry.

Its symmetry is P4mm. The energy above the most stable polymorph in this dataset comes out at 0.0000 eV per atom. For the formation energy, the calculation gives 0.609 eV per atom.

Cell lengths 3.753, 3.753, 8.926 Å; angles 90.00, 90.00, 90.00 degrees
Positions (direct):
Sr 0.000 0.000 0.000
Sr 0.500 0.500 0.404
Tl 0.000 0.000 0.645
Re 0.500 0.500 0.757

[10]
DFT (PBE) results for crystalline Er5Ga2Te at its relaxed geometry.

Its symmetry is I4/mcm. The energy above the most stable polymorph in this dataset comes out at 0.0000 eV per atom. The energy relative to the elements, uncorrected comes out at -5.1 eV per formula unit.

Cell lengths 8.501, 8.501, 8.501 Å; angles 123.33, 123.33, 84.33 degrees
Positions (direct):
Er 0.000 0.000 0.000
Er 0.009 0.509 0.804
Er 0.205 0.009 0.500
Er 0.295 0.795 0.804
Er 0.491 0.295 0.500
Er 0.500 0.500 0.000
Er 0.509 0.705 0.500
Er 0.705 0.205 0.196
Er 0.795 0.991 0.500
Er 0.991 0.491 0.196
Ga 0.149 0.351 0.500
Ga 0.351 0.851 0.201
Ga 0.649 0.149 0.799
Ga 0.851 0.649 0.500
Te 0.250 0.250 0.000
Te 0.750 0.750 0.000

[11]
DFT (PBE) results for crystalline SrLiFe2Mo at its relaxed geometry.

Its symmetry is P4/mmm. For the formation energy, the calculation gives 1.584 eV per atom.

Cell lengths 4.371, 4.371, 4.406 Å; angles 90.00, 90.00, 90.00 degrees
Positions (direct):
Sr 0.000 0.000 0.000
Li 0.500 0.500 0.500
Fe 0.000 0.500 0.500
Fe 0.500 0.000 0.500
Mo 0.500 0.500 0.000

[12]
DFT (PBE) results for crystalline Ce4B3Rh12Au at its relaxed geometry.

Its symmetry is Im-3m. For the formation energy, the calculation gives -0.493 eV per atom.

Cell lengths 7.588, 7.588, 7.588 Å; angles 109.47, 109.47, 109.47 degrees
Positions (direct):
Ce 0.000 0.000 0.500
Ce 0.000 0.500 0.000
Ce 0.500 0.000 0.000
Ce 0.500 0.500 0.500
B 0.000 0.500 0.500
B 0.500 0.000 0.500
B 0.500 0.500 0.000
Rh 0.000 0.283 0.283
Rh 0.000 0.717 0.717
Rh 0.250 0.500 0.750
Rh 0.250 0.750 0.500
Rh 0.283 0.000 0.283
Rh 0.283 0.283 0.000
Rh 0.500 0.250 0.750
Rh 0.500 0.750 0.250
Rh 0.717 0.000 0.717
Rh 0.717 0.717 0.000
Rh 0.750 0.250 0.500
Rh 0.750 0.500 0.250
Au 0.000 0.000 0.000